# La4DyC10 (GGA-PBEsol, optimized geometry)
data_La4DyC10
_chemical_formula_sum 'La16 Dy4 C40'
_cell_length_a 5.433
_cell_length_b 6.460
_cell_length_c 27.136
_cell_angle_alpha 90.00
_cell_angle_beta 90.00
_cell_angle_gamma 90.00
_symmetry_space_group_name_H-M 'F m m m'
_symmetry_Int_Tables_number 69
_symmetry_space_group_name_Hall '-F 2 2'
loop_
_atom_site_label
_atom_site_type_symbol
_atom_site_fract_x
_atom_site_fract_y
_atom_site_fract_z
_atom_site_occupancy
La1 La 0.000 0.000 0.099 1
La2 La 0.000 0.000 0.301 1
Dy1 Dy 0.000 0.000 0.500 1
C1 C 0.000 0.100 0.200 1
C2 C 0.000 0.100 0.405 1
C3 C 0.000 0.101 0.000 1
# volume = 952.3 Å³/cell
# formation energy = -0.12 eV per atom

***

# Hf3CoPt (GGA-PBEsol, optimized geometry)
data_Hf3CoPt
_chemical_formula_sum 'Hf3 Co1 Pt1'
_cell_length_a 4.619
_cell_length_b 4.619
_cell_length_c 4.619
_cell_angle_alpha 90.00
_cell_angle_beta 90.00
_cell_angle_gamma 90.00
_symmetry_space_group_name_H-M 'P m -3 m'
_symmetry_Int_Tables_number 221
_symmetry_space_group_name_Hall '-P 4 2 3'
loop_
_atom_site_label
_atom_site_type_symbol
_atom_site_fract_x
_atom_site_fract_y
_atom_site_fract_z
_atom_site_occupancy
Hf1 Hf 0.000 0.000 0.500 1
Co1 Co 0.000 0.000 0.000 1
Pt1 Pt 0.500 0.500 0.500 1
# volume = 98.5 Å³/cell
# formation energy = 0.06 eV per atom

***

# Li2CoOs (GGA-PBEsol, optimized geometry)
data_Li2CoOs
_chemical_formula_sum 'Li2 Co1 Os1'
_cell_length_a 2.664
_cell_length_b 2.664
_cell_length_c 7.380
_cell_angle_alpha 90.00
_cell_angle_beta 90.00
_cell_angle_gamma 90.00
_symmetry_space_group_name_H-M 'P 4 m m'
_symmetry_Int_Tables_number 99
_symmetry_space_group_name_Hall 'P 4 -2'
loop_
_atom_site_label
_atom_site_type_symbol
_atom_site_fract_x
_atom_site_fract_y
_atom_site_fract_z
_atom_site_occupancy
Li1 Li 0.000 0.000 0.000 1
Li2 Li 0.500 0.500 0.299 1
Co1 Co 0.500 0.500 0.770 1
Os1 Os 0.000 0.000 0.561 1
# excess energy over the best structure of this formula in the dataset = 0 meV/atom
# volume = 52.4 Å³/cell
# formation energy = 0.18 eV per atom

***

# Pr12Si5Se28 (GGA-PBEsol, optimized geometry)
data_Pr12Si5Se28
_chemical_formula_sum 'Pr24 Si10 Se56'
_cell_length_a 10.5221
_cell_length_b 10.5221
_cell_length_c 23.9943
_cell_angle_alpha 90.00
_cell_angle_beta 90.00
_cell_angle_gamma 120.00
_symmetry_space_group_name_H-M 'P 3'
_symmetry_Int_Tables_number 143
_symmetry_space_group_name_Hall 'P 3'
loop_
_atom_site_label
_atom_site_type_symbol
_atom_site_fract_x
_atom_site_fract_y
_atom_site_fract_z
_atom_site_occupancy
Pr1 Pr 0.0180 0.5523 0.0000 1
Pr2 Pr 0.0186 0.5623 0.7591 1
Pr3 Pr 0.0273 0.5624 0.2609 1
Pr4 Pr 0.0287 0.5738 0.5151 1
Pr5 Pr 0.2997 0.1044 0.1272 1
Pr6 Pr 0.3055 0.1031 0.3838 1
Pr7 Pr 0.3139 0.1091 0.8809 1
Pr8 Pr 0.3218 0.1044 0.6413 1
Si1 Si 0.0000 0.0000 0.2356 1
Si2 Si 0.0000 0.0000 0.4910 1
Si3 Si 0.0000 0.0000 0.7379 1
Si4 Si 0.0000 0.0000 0.9825 1
Si5 Si 0.3333 0.6667 0.1115 1
Si6 Si 0.3333 0.6667 0.3669 1
Si7 Si 0.3333 0.6667 0.6150 1
Si8 Si 0.3333 0.6667 0.8604 1
Si9 Si 0.6667 0.3333 0.2020 1
Si10 Si 0.6667 0.3333 0.4508 1
Se1 Se 0.0000 0.0000 0.0780 1
Se2 Se 0.0000 0.0000 0.3301 1
Se3 Se 0.0000 0.0000 0.5836 1
Se4 Se 0.0000 0.0000 0.8313 1
Se5 Se 0.0797 0.8516 0.7001 1
Se6 Se 0.0826 0.8545 0.4518 1
Se7 Se 0.0854 0.8542 0.2003 1
Se8 Se 0.0852 0.8544 0.9477 1
Se9 Se 0.1793 0.4376 0.5766 1
Se10 Se 0.1860 0.4376 0.8235 1
Se11 Se 0.1872 0.4377 0.3290 1
Se12 Se 0.1920 0.4368 0.0755 1
Se13 Se 0.3333 0.6667 0.2069 1
Se14 Se 0.3333 0.6667 0.4599 1
Se15 Se 0.3333 0.6667 0.7078 1
Se16 Se 0.3333 0.6667 0.9549 1
Se17 Se 0.4072 0.1712 0.0142 1
Se18 Se 0.4113 0.1664 0.7610 1
Se19 Se 0.4226 0.1774 0.2609 1
Se20 Se 0.4355 0.1791 0.5030 1
Se21 Se 0.4927 0.4194 0.6347 1
Se22 Se 0.5025 0.4269 0.8855 1
Se23 Se 0.5150 0.4197 0.3920 1
Se24 Se 0.5253 0.4204 0.1482 1
# volume = 2300.6 Å³/cell
# uncorrected formation energy = -63.21 eV/f.u.